# 1
# Pm3DyTm2 (PBE, relaxed)
data_Pm3DyTm2
_space_group_name_H-M_alt 'C 1 2/c 1'
_space_group_IT_number 15
_cell_length_a 17.780
_cell_length_b 7.213
_cell_length_c 6.250
_cell_angle_alpha 90.00
_cell_angle_beta 103.59
_cell_angle_gamma 90.00
loop_
_space_group_symop_operation_xyz
'x,y,z'
'-x,-y,-z'
'-x,y,-z+1/2'
'x,-y,z+1/2'
'x+1/2,y+1/2,z'
'-x+1/2,-y+1/2,-z'
'-x+1/2,y+1/2,-z+1/2'
'x+1/2,-y+1/2,z+1/2'
loop_
_atom_site_label
_atom_site_type_symbol
_atom_site_fract_x
_atom_site_fract_y
_atom_site_fract_z
_atom_site_occupancy
Pm1 Pm 0.000 0.128 0.250 1
Pm2 Pm 0.168 0.125 0.027 1
Dy1 Dy 0.000 0.377 0.750 1
Tm1 Tm 0.166 0.376 0.528 1
# Energy of formation, eV per atom: 0.00
# Size of the total moment, Bohr magnetons per cell: 0.0
# Fermi-level density of states, states/eV/cell: 30.68
# Crystal system: monoclinic

# 2
# Pm5Dy4Tm3 (PBE, relaxed)
data_Pm5Dy4Tm3
_space_group_name_H-M_alt 'C 1 2/m 1'
_space_group_IT_number 12
_cell_length_a 18.082
_cell_length_b 5.706
_cell_length_c 8.612
_cell_angle_alpha 90.00
_cell_angle_beta 116.61
_cell_angle_gamma 90.00
loop_
_space_group_symop_operation_xyz
'x,y,z'
'-x,-y,-z'
'-x,y,-z'
'x,-y,z'
'x+1/2,y+1/2,z'
'-x+1/2,-y+1/2,-z'
'-x+1/2,y+1/2,-z'
'x+1/2,-y+1/2,z'
loop_
_atom_site_label
_atom_site_type_symbol
_atom_site_fract_x
_atom_site_fract_y
_atom_site_fract_z
_atom_site_occupancy
Pm1 Pm 0.000 0.000 0.000 1
Pm2 Pm 0.109 0.500 0.431 1
Pm3 Pm 0.183 0.000 0.208 1
Dy1 Dy 0.028 0.000 0.694 1
Dy2 Dy 0.203 0.000 0.661 1
Tm1 Tm 0.000 0.500 0.000 1
Tm2 Tm 0.156 0.500 0.885 1
# Energy of formation, eV per atom: 0.26
# Size of the total moment, Bohr magnetons per cell: 0.0
# Fermi-level density of states, states/eV/cell: 28.60
# Crystal system: monoclinic

# 3
# PmDy2Tm (PBE, relaxed)
data_PmDy2Tm
_space_group_name_H-M_alt 'I m m 2'
_space_group_IT_number 44
_cell_length_a 3.635
_cell_length_b 11.344
_cell_length_c 6.252
_cell_angle_alpha 90.00
_cell_angle_beta 90.00
_cell_angle_gamma 90.00
loop_
_space_group_symop_operation_xyz
'x,y,z'
'-x,-y,z'
'-x,y,z'
'x,-y,z'
'x+1/2,y+1/2,z+1/2'
'-x+1/2,-y+1/2,z+1/2'
'-x+1/2,y+1/2,z+1/2'
'x+1/2,-y+1/2,z+1/2'
loop_
_atom_site_label
_atom_site_type_symbol
_atom_site_fract_x
_atom_site_fract_y
_atom_site_fract_z
_atom_site_occupancy
Pm1 Pm 0.000 0.000 0.000 1
Dy1 Dy 0.000 0.248 0.663 1
Tm1 Tm 0.000 0.500 0.996 1
# Energy of formation, eV per atom: 0.01
# Size of the total moment, Bohr magnetons per cell: 0.0
# Fermi-level density of states, states/eV/cell: 13.39
# Crystal system: orthorhombic

# 4
# Pm3Dy8Tm (PBE, relaxed)
data_Pm3Dy8Tm
_space_group_name_H-M_alt 'I m m m'
_space_group_IT_number 71
_space_group_name_Hall '-I 2 2'
_cell_length_a 6.463
_cell_length_b 11.257
_cell_length_c 11.427
_cell_angle_alpha 90.00
_cell_angle_beta 90.00
_cell_angle_gamma 90.00
loop_
_atom_site_label
_atom_site_type_symbol
_atom_site_fract_x
_atom_site_fract_y
_atom_site_fract_z
_atom_site_occupancy
Pm1 Pm 0.000 0.000 0.000 1
Pm2 Pm 0.000 0.500 0.246 1
Dy1 Dy 0.000 0.167 0.251 1
Dy2 Dy 0.247 0.257 0.000 1
Tm1 Tm 0.000 0.000 0.500 1
# Energy of formation, eV per atom: 0.30
# Size of the total moment, Bohr magnetons per cell: 0.0
# Fermi-level density of states, states/eV/cell: 30.95
# Crystal system: orthorhombic

# 5
# Pm12Dy7Tm (PBE, relaxed)
data_Pm12Dy7Tm
_space_group_name_H-M_alt 'R -3'
_space_group_IT_number 148
_space_group_name_Hall '-R 3'
_cell_length_a 19.5982
_cell_length_b 19.5982
_cell_length_c 6.1981
_cell_angle_alpha 90.00
_cell_angle_beta 90.00
_cell_angle_gamma 120.00
loop_
_atom_site_label
_atom_site_type_symbol
_atom_site_fract_x
_atom_site_fract_y
_atom_site_fract_z
_atom_site_occupancy
Pm1 Pm 0.0002 0.4129 0.0003 1
Pm2 Pm 0.0976 0.5491 0.4624 1
Dy1 Dy 0.0000 0.0000 0.0000 1
Dy2 Dy 0.0811 0.9182 0.2933 1
Tm1 Tm 0.0000 0.0000 0.5000 1
# Energy of formation, eV per atom: 0.24
# Size of the total moment, Bohr magnetons per cell: 0.0
# Fermi-level density of states, states/eV/cell: 82.19
# Crystal system: trigonal

# 6
# Pm4DyTm3 (PBE, relaxed)
data_Pm4DyTm3
_space_group_name_H-M_alt 'P m n 21'
_space_group_IT_number 31
_cell_length_a 11.437
_cell_length_b 7.288
_cell_length_c 6.278
_cell_angle_alpha 90.00
_cell_angle_beta 90.00
_cell_angle_gamma 90.00
loop_
_space_group_symop_operation_xyz
'x,y,z'
'-x+1/2,-y,z+1/2'
'-x,y,z'
'x+1/2,-y,z+1/2'
loop_
_atom_site_label
_atom_site_type_symbol
_atom_site_fract_x
_atom_site_fract_y
_atom_site_fract_z
_atom_site_occupancy
Pm1 Pm 0.000 0.128 0.000 1
Pm2 Pm 0.000 0.871 0.507 1
Pm3 Pm 0.248 0.127 0.339 1
Dy1 Dy 0.000 0.622 0.006 1
Tm1 Tm 0.000 0.380 0.505 1
Tm2 Tm 0.250 0.379 0.838 1
# Energy of formation, eV per atom: 0.02
# Size of the total moment, Bohr magnetons per cell: 0.0
# Fermi-level density of states, states/eV/cell: 29.26
# Crystal system: orthorhombic

# 7
# Pm7Dy12Tm (PBE, relaxed)
data_Pm7Dy12Tm
_space_group_name_H-M_alt 'R -3'
_space_group_IT_number 148
_space_group_name_Hall '-R 3'
_cell_length_a 11.9704
_cell_length_b 11.9704
_cell_length_c 16.2128
_cell_angle_alpha 90.00
_cell_angle_beta 90.00
_cell_angle_gamma 120.00
loop_
_atom_site_label
_atom_site_type_symbol
_atom_site_fract_x
_atom_site_fract_y
_atom_site_fract_z
_atom_site_occupancy
Pm1 Pm 0.0000 0.0000 0.0000 1
Pm2 Pm 0.0567 0.1882 0.2895 1
Dy1 Dy 0.0265 0.4506 0.2221 1
Dy2 Dy 0.0521 0.5857 0.5827 1
Tm1 Tm 0.0000 0.0000 0.5000 1
# Energy of formation, eV per atom: 0.23
# Size of the total moment, Bohr magnetons per cell: 0.0
# Fermi-level density of states, states/eV/cell: 109.25
# Crystal system: trigonal

# 8
# Pm3Dy6Tm2 (PBE, relaxed)
data_Pm3Dy6Tm2
_space_group_name_H-M_alt 'I 4/m m m'
_space_group_IT_number 139
_space_group_name_Hall '-I 4 2'
_cell_length_a 4.744
_cell_length_b 4.744
_cell_length_c 33.152
_cell_angle_alpha 90.00
_cell_angle_beta 90.00
_cell_angle_gamma 90.00
loop_
_atom_site_label
_atom_site_type_symbol
_atom_site_fract_x
_atom_site_fract_y
_atom_site_fract_z
_atom_site_occupancy
Pm1 Pm 0.000 0.000 0.000 1
Pm2 Pm 0.000 0.000 0.202 1
Dy1 Dy 0.000 0.000 0.306 1
Dy2 Dy 0.000 0.500 0.120 1
Tm1 Tm 0.000 0.000 0.454 1
# Energy of formation, eV per atom: 0.28
# Size of the total moment, Bohr magnetons per cell: 0.0
# Fermi-level density of states, states/eV/cell: 34.94
# Crystal system: tetragonal

Q: Among the records above, which one has the highest Fermi-level density of states?
A: Pm7Dy12Tm

Q: Which of these has the lowest energy of formation?
A: Pm3DyTm2

Q: Look up the Fermi-level density of states of the seventh one.
A: 109.25 states/eV/cell

Q: Among the records above, which one has the lowest Fermi-level density of states?
A: PmDy2Tm